# PBE SrLiPr, optimized geometry
data_SrLiPr
_cell_length_a 3.937
_cell_length_b 3.937
_cell_length_c 13.930
_cell_angle_alpha 90.00
_cell_angle_beta 90.00
_cell_angle_gamma 90.00
_space_group_name_H-M_alt 'I 4 m m'
_space_group_IT_number 107
_space_group_name_Hall 'I 4 -2'
loop_
_atom_site_label
_atom_site_type_symbol
_atom_site_fract_x
_atom_site_fract_y
_atom_site_fract_z
Sr1 Sr 0.000 0.000 0.000
Li1 Li 0.000 0.000 0.657
Pr1 Pr 0.000 0.000 0.292
# - V (Å³/atom) = 35.98
# - energy of formation from the pure elements (meV/atom) = 143.2

***

# PBE SrLi17Pr, optimized geometry
data_SrLi17Pr
_cell_length_a 10.1141
_cell_length_b 10.1141
_cell_length_c 14.8570
_cell_angle_alpha 90.00
_cell_angle_beta 90.00
_cell_angle_gamma 120.00
_space_group_name_H-M_alt 'R 3 m'
_space_group_IT_number 160
_space_group_name_Hall 'R 3 -2"'
loop_
_atom_site_label
_atom_site_type_symbol
_atom_site_fract_x
_atom_site_fract_y
_atom_site_fract_z
Sr1 Sr 0.0000 0.0000 0.0000
Li1 Li 0.0000 0.0000 0.5518
Li2 Li 0.0000 0.0000 0.7456
Li3 Li 0.0422 0.3703 0.3167
Li4 Li 0.1681 0.3361 0.4836
Li5 Li 0.1697 0.3394 0.8340
Li6 Li 0.1735 0.3470 0.1340
Pr1 Pr 0.0000 0.0000 0.3085
# - V (Å³/atom) = 23.09
# - energy of formation from the pure elements (meV/atom) = 49.1

***

# PBE SrLi4Pr, optimized geometry
data_SrLi4Pr
_cell_length_a 8.803
_cell_length_b 8.803
_cell_length_c 8.803
_cell_angle_alpha 90.00
_cell_angle_beta 90.00
_cell_angle_gamma 90.00
_space_group_name_H-M_alt 'F -4 3 m'
_space_group_IT_number 216
_space_group_name_Hall 'F -4 2 3'
loop_
_atom_site_label
_atom_site_type_symbol
_atom_site_fract_x
_atom_site_fract_y
_atom_site_fract_z
Sr1 Sr 0.000 0.000 0.000
Li1 Li 0.124 0.124 0.376
Pr1 Pr 0.250 0.250 0.750
# - V (Å³/atom) = 28.42
# - energy of formation from the pure elements (meV/atom) = 95.8

***

Short version: theoretical density = 3.62, 1.31, 2.50 Mg/m³, in the order given.